# YZrAl3

A relaxed YZrAl3 crystal (PBE, Alexandria).

Lattice parameters (Å, degrees): 5.1245 5.1245 5.1245 90.00 90.00 90.00
Fractional coordinates of all 5 atoms:
1 Y 0.0000 0.0000 0.0000
2 Zr 0.5000 0.5000 0.5000
3 Al 0.0000 0.0000 0.5000
4 Al 0.0000 0.5000 0.0000
5 Al 0.5000 0.0000 0.0000

Summary:
- calculated formation energy (eV per atom) = 1.135
- E above lowest polymorph (eV/atom) = 0.7521
- space-group type = Pm-3m (221)